Record 1
{
  "formula": "Zr2Ti2I7",
  "functional": "PBE",
  "state": "optimized geometry",
  "cell": [[7.067, -0.563, -2.098], [-1.773, 6.864, -2.098], [0.193, 0.230, 18.085]],
  "species": ["Zr", "Zr", "Zr", "Zr", "Ti", "Ti", "Ti", "Ti", "I", "I", "I", "I", "I", "I", "I", "I", "I", "I", "I", "I", "I", "I"],
  "frac_coords": [[0.299, 0.321, 0.210], [0.321, 0.299, 0.710], [0.679, 0.701, 0.290], [0.701, 0.679, 0.790], [0.326, 0.741, 0.324], [0.259, 0.674, 0.176], [0.741, 0.326, 0.824], [0.674, 0.259, 0.676], [0.982, 0.498, 0.330], [0.950, 0.309, 0.083], [0.518, 0.495, 0.385], [0.063, 0.937, 0.250], [0.498, 0.982, 0.830], [0.309, 0.950, 0.583], [0.495, 0.518, 0.885], [0.505, 0.482, 0.115], [0.691, 0.050, 0.417], [0.502, 0.018, 0.170], [0.937, 0.063, 0.750], [0.482, 0.505, 0.615], [0.050, 0.691, 0.917], [0.018, 0.502, 0.670]],
  "dos_at_fermi_per_ev_cell": 8.0,
  "m_tot_mub_per_cell": 5.6,
  "space_group": "C2/c, No. 15",
  "dft_energy_ev_per_cell": -100.38,
  "formation_energy_uncorrected_ev_per_atom": -0.587
}


Record 2
{
  "formula": "Na3OsCl2F6",
  "functional": "PBE",
  "state": "optimized geometry",
  "cell": [[-1.261, -0.953, -4.350], [-1.109, -6.690, 1.788], [-6.005, 4.827, 0.581]],
  "species": ["Na", "Na", "Na", "Os", "Cl", "Cl", "F", "F", "F", "F", "F", "F"],
  "frac_coords": [[0.000, 0.500, 0.000], [0.500, 0.500, 0.500], [0.500, 0.000, 0.500], [0.500, 0.000, 0.000], [0.115, 0.688, 0.375], [0.885, 0.312, 0.625], [0.741, 0.248, 0.098], [0.259, 0.752, 0.902], [0.682, 0.874, 0.747], [0.318, 0.126, 0.253], [0.259, 0.150, 0.902], [0.741, 0.850, 0.098]],
  "m_tot_mub_per_cell": 2.9,
  "space_group": "C2/m, No. 12",
  "dft_energy_ev_per_cell": -53.47,
  "formation_energy_uncorrected_ev_per_atom": -1.947
}